This record from the Alexandria database describes an optimized crystal structure of ReSi2Se. The functional is PBE-GGA.

Cell and atoms, written as POSCAR:
```
ReSi2Se
1.0
-1.721 -1.745 1.518
1.498 -1.078 -2.215
7.042 -1.967 5.722
Si Re Se
2 1 1
Direct
0.000 0.000 0.041 Si
0.500 0.500 0.265 Si
0.000 0.000 0.483 Re
0.500 0.500 0.710 Se
```

Crystal system   orthorhombic
E   -24.6 eV for the cell shown
Formation energy from raw total energies   0.5471 eV/atom